<a>
A plane-wave DFT calculation with GGA-PBE was carried out for ZnCdNi after structural relaxation.

The structure in POSCAR format:
```
ZnCdNi
1.0
4.294 0.000 0.000
-2.147 3.719 0.000
0.000 0.000 2.869
Zn Cd Ni
1 1 1
direct
0.000 0.000 0.000
0.333 0.667 0.493
0.667 0.333 0.988
```

Properties
Magnetic moment = 0.00 μB per formula unit
Space-group type = P3m1, No. 156
Crystal system = trigonal


<b>
A plane-wave DFT calculation with GGA-PBE was carried out for ZnCdNi after structural relaxation.

The structure in POSCAR format:
```
ZnCdNi
1.0
0.000 3.030 3.030
3.030 0.000 3.030
3.030 3.030 0.000
Zn Cd Ni
1 1 1
direct
0.000 0.000 0.000
0.250 0.250 0.250
0.500 0.500 0.500
```

Properties
Magnetic moment = 0.00 μB per formula unit
Space-group type = F-43m, No. 216
Crystal system = cubic


Calculated relative energies: <a> 0.0; <b> 38.4, given in kJ/mol of atoms


<a>
A plane-wave DFT calculation with GGA-PBE was carried out for ZnCd3Ni after structural relaxation.

The structure in POSCAR format:
```
ZnCd3Ni
1.0
4.993 0.000 0.000
0.000 4.993 0.000
0.000 0.000 4.993
Zn Cd Ni
1 3 1
direct
0.000 0.000 0.000
0.000 0.500 0.500
0.500 0.000 0.500
0.500 0.500 0.000
0.500 0.500 0.500
```

Properties
Magnetic moment = 0.00 μB per formula unit
Space-group type = Pm-3m, No. 221
Crystal system = cubic


<b>
A plane-wave DFT calculation with GGA-PBE was carried out for ZnCd3Ni after structural relaxation.

The structure in POSCAR format:
```
ZnCd3Ni
1.0
4.967 0.000 0.000
0.000 4.967 0.000
0.000 0.000 4.967
Zn Cd Ni
1 3 1
direct
0.000 0.000 0.000
0.000 0.000 0.500
0.000 0.500 0.000
0.500 0.000 0.000
0.500 0.500 0.500
```

Properties
Magnetic moment = 0.69 μB per formula unit
Space-group type = Pm-3m, No. 221
Crystal system = cubic


Calculated relative energies: <a> 0.0; <b> 42.7, given in kJ/mol of atoms


<a>
A plane-wave DFT calculation with GGA-PBE was carried out for Zn2CdNi2 after structural relaxation.

The structure in POSCAR format:
```
Zn2CdNi2
1.0
7.126 0.000 0.000
0.000 7.126 0.000
0.000 0.000 2.779
Zn Cd Ni
4 2 4
direct
0.164 0.336 0.000
0.336 0.836 0.000
0.664 0.164 0.000
0.836 0.664 0.000
0.000 0.000 0.500
0.500 0.500 0.500
0.129 0.629 0.500
0.371 0.129 0.500
0.629 0.871 0.500
0.871 0.371 0.500
```

Properties
Magnetic moment = 0.00 μB per formula unit
Space-group type = P4/mbm, No. 127
Crystal system = tetragonal


<b>
A plane-wave DFT calculation with GGA-PBE was carried out for Zn2CdNi2 after structural relaxation.

The structure in POSCAR format:
```
Zn2CdNi2
1.0
7.131 0.000 0.000
0.000 7.131 0.000
0.000 0.000 2.761
Zn Cd Ni
4 2 4
direct
0.129 0.371 0.000
0.371 0.871 0.000
0.629 0.129 0.000
0.871 0.629 0.000
0.000 0.000 0.000
0.500 0.500 0.000
0.167 0.667 0.500
0.333 0.167 0.500
0.667 0.833 0.500
0.833 0.333 0.500
```

Properties
Magnetic moment = 0.00 μB per formula unit
Space-group type = P4/mbm, No. 127
Crystal system = tetragonal


Calculated relative energies: <a> 0.7; <b> 0.0, given in kJ/mol of atoms


<a>
A plane-wave DFT calculation with GGA-PBE was carried out for ZrCd2Ni2 after structural relaxation.

The structure in POSCAR format:
```
ZrCd2Ni2
1.0
-1.896 1.896 6.252
1.896 -1.896 6.252
1.896 1.896 -6.252
Zr Cd Ni
1 2 2
direct
0.000 0.000 0.000
0.388 0.388 0.000
0.612 0.612 0.000
0.250 0.750 0.500
0.750 0.250 0.500
```

Properties
Magnetic moment = 0.00 μB per formula unit
Space-group type = I4/mmm, No. 139
Crystal system = tetragonal


<b>
A plane-wave DFT calculation with GGA-PBE was carried out for ZrCd2Ni2 after structural relaxation.

The structure in POSCAR format:
```
ZrCd2Ni2
1.0
6.647 0.000 0.000
0.000 6.647 0.000
0.000 0.000 3.941
Zr Cd Ni
2 4 4
direct
0.000 0.000 0.000
0.500 0.500 0.000
0.169 0.331 0.500
0.331 0.831 0.500
0.669 0.169 0.500
0.831 0.669 0.500
0.127 0.627 0.000
0.373 0.127 0.000
0.627 0.873 0.000
0.873 0.373 0.000
```

Properties
Magnetic moment = 0.00 μB per formula unit
Space-group type = P4/mbm, No. 127
Crystal system = tetragonal


<c>
A plane-wave DFT calculation with GGA-PBE was carried out for ZrCd2Ni2 after structural relaxation.

The structure in POSCAR format:
```
ZrCd2Ni2
1.0
7.715 0.000 0.000
0.000 7.715 0.000
0.000 0.000 2.862
Zr Cd Ni
2 4 4
direct
0.000 0.000 0.000
0.500 0.500 0.000
0.127 0.373 0.000
0.373 0.873 0.000
0.627 0.127 0.000
0.873 0.627 0.000
0.174 0.674 0.500
0.326 0.174 0.500
0.674 0.826 0.500
0.826 0.326 0.500
```

Properties
Magnetic moment = 0.00 μB per formula unit
Space-group type = P4/mbm, No. 127
Crystal system = tetragonal


Calculated relative energies: <a> 30.0; <b> 0.0; <c> 11.2, given in kJ/mol of atoms


<a>
A plane-wave DFT calculation with GGA-PBE was carried out for Th2NpCd after structural relaxation.

The structure in POSCAR format:
```
Th2NpCd
1.0
1.911 1.103 9.949
-1.911 1.103 9.949
0.000 -2.206 9.949
Th Np Cd
2 1 1
direct
0.111 0.111 0.111
0.889 0.889 0.889
0.500 0.500 0.500
0.000 0.000 0.000
```

Properties
Magnetic moment = 0.00 μB per formula unit
Space-group type = R-3m, No. 166
Crystal system = trigonal


<b>
A plane-wave DFT calculation with GGA-PBE was carried out for Th2NpCd after structural relaxation.

The structure in POSCAR format:
```
Th2NpCd
1.0
3.476 0.000 0.000
0.000 3.476 0.000
0.000 0.000 9.426
Th Np Cd
2 1 1
direct
0.000 0.000 0.247
0.000 0.000 0.753
0.500 0.500 0.000
0.500 0.500 0.500
```

Properties
Magnetic moment = 4.35 μB per formula unit
Space-group type = P4/mmm, No. 123
Crystal system = tetragonal


Calculated relative energies: <a> 60.2; <b> 0.0, given in kJ/mol of atoms


<a>
A plane-wave DFT calculation with GGA-PBE was carried out for CdOsO4 after structural relaxation.

The structure in POSCAR format:
```
CdOsO4
1.0
5.691 -2.529 0.000
5.691 2.529 0.000
-1.845 0.000 5.104
Cd Os O
2 2 8
direct
0.191 0.809 0.750
0.809 0.191 0.250
0.000 0.500 0.000
0.500 0.000 0.500
0.146 0.184 0.672
0.184 0.146 0.172
0.331 0.444 0.071
0.444 0.331 0.571
0.556 0.669 0.429
0.669 0.556 0.929
0.816 0.854 0.828
0.854 0.816 0.328
```

Properties
Magnetic moment = 0.00 μB per formula unit
Space-group type = C2/c, No. 15
Crystal system = monoclinic


<b>
A plane-wave DFT calculation with GGA-PBE was carried out for CdOsO4 after structural relaxation.

The structure in POSCAR format:
```
CdOsO4
1.0
5.904 0.000 0.000
0.000 4.842 0.000
-1.678 0.000 5.323
Cd Os O
2 2 8
direct
0.000 0.000 0.000
0.000 0.500 0.500
0.500 0.000 0.500
0.500 0.500 0.000
0.198 0.164 0.392
0.198 0.336 0.892
0.385 0.740 0.702
0.385 0.760 0.202
0.615 0.240 0.798
0.615 0.260 0.298
0.802 0.664 0.108
0.802 0.836 0.608
```

Properties
Magnetic moment = 0.00 μB per formula unit
Space-group type = P2_1/c, No. 14
Crystal system = monoclinic


Calculated relative energies: <a> 6.4; <b> 0.0, given in kJ/mol of atoms